Entry 1:
Below is a geometry-optimized CeCu3S4 structure, with properties calculated at the PBE level.

a = 3.7776 Å, b = 6.5430 Å, c = 7.2740 Å
α = 116.73°, β = 90.00°, γ = 90.00°
Each line ends with the local moment (μB).
Positions (direct):
S 0.0000 0.6386 0.7570  -0.01
S 0.0000 0.3614 0.2430  -0.01
S 0.0000 0.1183 0.7570  -0.01
S 0.0000 0.8817 0.2430  -0.01
Cu 0.0000 0.5000 0.0000  0.00
Cu 0.0000 0.2541 0.5082  -0.01
Cu 0.0000 0.7459 0.4918  -0.01
Ce 0.5000 0.0000 0.0000  0.48

Values from the calculation:
Its total energy is -4.99 eV per atom. The symmetry is Cmmm (65). For the uncorrected formation energy, the calculation gives -649 meV per atom. The spin magnetization is 0.5 μB per cell.

Entry 2:
Below is a geometry-optimized CeCu3S3 structure, with properties calculated at the PBE level.

a = 6.7339 Å, b = 6.7339 Å, c = 7.6446 Å
α = 63.87°, β = 63.87°, γ = 60.00°
Each line ends with the local moment (μB).
Positions (direct):
S 0.2437 0.5814 0.2618  -0.01
S 0.4186 0.0869 0.7382  -0.01
S 0.9131 0.2437 0.2618  -0.01
S 0.5814 0.9131 0.2618  -0.01
S 0.7563 0.4186 0.7382  -0.01
S 0.0869 0.7563 0.7382  -0.01
Cu 0.2153 0.8770 0.3720  -0.01
Cu 0.8770 0.5357 0.3720  -0.01
Cu 0.4643 0.7847 0.6280  -0.01
Cu 0.1230 0.4643 0.6280  -0.01
Cu 0.7847 0.1230 0.6280  -0.01
Cu 0.5357 0.2153 0.3720  -0.01
Ce 0.6665 0.6665 0.0006  0.92
Ce 0.3335 0.3335 0.9994  0.92

Values from the calculation:
Its total energy is -5.20 eV per atom. The symmetry is R-3 (148). For the uncorrected formation energy, the calculation gives -827 meV per atom. The spin magnetization is 2.0 μB per cell.

Entry 3:
Below is a geometry-optimized CeCuS2 structure, with properties calculated at the PBE level.

a = 3.6459 Å, b = 3.6459 Å, c = 7.9873 Å
α = 76.81°, β = 76.81°, γ = 60.00°
Each line ends with the local moment (μB).
Positions (direct):
S 0.8871 0.8871 0.3387  0.01
S 0.1129 0.1129 0.6613  0.01
Ce 0.0000 0.0000 0.0000  0.44
Cu 0.5000 0.5000 0.5000  0.04

Values from the calculation:
Its total energy is -4.82 eV per atom. The symmetry is R-3m (166). For the uncorrected formation energy, the calculation gives -249 meV per atom. The spin magnetization is 0.6 μB per cell.

Entry 4:
Below is a geometry-optimized CeCuS3 structure, with properties calculated at the PBE level.

a = 4.4375 Å, b = 6.1658 Å, c = 7.5515 Å
α = 114.09°, β = 90.00°, γ = 90.00°
Each line ends with the local moment (μB).
Positions (direct):
S 0.5000 0.5000 0.5000  -0.03
S 0.0000 0.8601 0.7202  -0.03
S 0.5000 0.3042 0.0000  -0.02
S 0.5000 0.6958 0.0000  -0.02
S 0.0000 0.1399 0.2798  -0.03
S 0.5000 0.0000 0.5000  -0.03
Cu 0.5000 0.8905 0.7811  0.00
Cu 0.5000 0.1095 0.2189  0.00
Ce 0.0000 0.6525 0.3051  0.66
Ce 0.0000 0.3475 0.6949  0.66

Values from the calculation:
Its total energy is -5.37 eV per atom. The symmetry is Cmmm (65). For the uncorrected formation energy, the calculation gives -890 meV per atom. The spin magnetization is 1.2 μB per cell.

Entry 5:
Below is a geometry-optimized Ce3CuS6 structure, with properties calculated at the PBE level.

a = 6.4479 Å, b = 8.5972 Å, c = 8.5972 Å
α = 101.92°, β = 90.00°, γ = 90.00°
Each line ends with the local moment (μB).
Positions (direct):
S 0.1980 0.0977 0.5644  -0.03
S 0.1840 0.6864 0.6362  -0.03
S 0.1980 0.4356 0.9023  -0.03
S 0.6721 0.2212 0.7788  -0.03
S 0.6840 0.3136 0.3638  -0.03
S 0.6980 0.9023 0.4356  -0.03
S 0.6980 0.5644 0.0977  -0.03
S 0.1717 0.0352 0.9648  -0.03
S 0.6717 0.9648 0.0352  -0.03
S 0.1840 0.3638 0.3136  -0.03
S 0.1721 0.7788 0.2212  -0.03
S 0.6840 0.6362 0.6864  -0.03
Cu 0.5336 0.8040 0.1960  -0.04
Cu 0.0336 0.1960 0.8040  -0.04
Ce 0.9757 0.0739 0.2828  0.46
Ce 0.4757 0.9261 0.7172  0.46
Ce 0.3927 0.3890 0.6110  0.41
Ce 0.4757 0.2828 0.0739  0.46
Ce 0.9757 0.7172 0.9261  0.46
Ce 0.8927 0.6110 0.3890  0.41

Values from the calculation:
Its total energy is -6.31 eV per atom. The symmetry is Cmc2_1 (36). For the uncorrected formation energy, the calculation gives -1639 meV per atom. The spin magnetization is 2.3 μB per cell.

Entry 6:
Below is a geometry-optimized Ce2Cu4S5 structure, with properties calculated at the PBE level.

a = 3.8534 Å, b = 3.8534 Å, c = 16.3113 Å
α = 83.22°, β = 83.22°, γ = 60.00°
Each line ends with the local moment (μB).
Positions (direct):
Ce 0.8682 0.8682 0.3954  0.33
Ce 0.1318 0.1318 0.6046  0.33
S 0.3655 0.3655 0.9036  0.00
S 0.5000 0.5000 0.5000  -0.01
S 0.6345 0.6345 0.0964  0.00
S 0.7623 0.7623 0.7130  -0.01
S 0.2377 0.2377 0.2870  -0.01
Cu 0.5874 0.5874 0.2378  0.00
Cu 0.3116 0.3116 0.0652  0.00
Cu 0.6884 0.6884 0.9348  0.00
Cu 0.4126 0.4126 0.7622  0.00

Values from the calculation:
Its total energy is -5.35 eV per atom. The symmetry is R-3m (166). For the uncorrected formation energy, the calculation gives -904 meV per atom. The spin magnetization is 0.7 μB per cell.

Entry 7:
Below is a geometry-optimized Ce2CuS4 structure, with properties calculated at the PBE level.

a = 6.3881 Å, b = 6.2953 Å, c = 7.7319 Å
α = 90.00°, β = 107.68°, γ = 90.00°
Each line ends with the local moment (μB).
Positions (direct):
S 0.5156 0.0109 0.2566  -0.04
S 0.0585 0.7500 0.8931  -0.03
S 0.9415 0.2500 0.1069  -0.03
S 0.5156 0.4891 0.2566  -0.04
S 0.4844 0.9891 0.7434  -0.04
S 0.0578 0.7500 0.3864  -0.03
S 0.9422 0.2500 0.6136  -0.03
S 0.4844 0.5109 0.7434  -0.04
Ce 0.2555 0.2500 0.4385  0.58
Ce 0.7445 0.7500 0.5615  0.58
Ce 0.2707 0.2500 0.9426  0.54
Ce 0.7293 0.7500 0.0574  0.54
Cu 0.2572 0.7500 0.1900  -0.04
Cu 0.7428 0.2500 0.8100  -0.04

Values from the calculation:
Its total energy is -6.16 eV per atom. The symmetry is P2_1/m (11). For the uncorrected formation energy, the calculation gives -1524 meV per atom. The spin magnetization is 2.1 μB per cell.

Entry 8:
Below is a geometry-optimized Ce2CuS structure, with properties calculated at the PBE level.

a = 3.8812 Å, b = 3.8812 Å, c = 7.8568 Å
α = 75.68°, β = 75.68°, γ = 59.98°
Each line ends with the local moment (μB).
Positions (direct):
Cu 0.6670 0.6670 0.9987  0.01
S 0.5000 0.5000 0.5000  -0.03
Ce 0.0837 0.0837 0.7490  0.80
Ce 0.2493 0.2493 0.2523  0.85

Values from the calculation:
Its total energy is -5.78 eV per atom. The symmetry is R3m (160). For the uncorrected formation energy, the calculation gives -752 meV per atom. The spin magnetization is 2.1 μB per cell.

Entry 9:
Below is a geometry-optimized CeCuS2 structure, with properties calculated at the PBE level.

a = 4.0000 Å, b = 4.0000 Å, c = 11.1029 Å
α = 90.00°, β = 90.00°, γ = 90.00°
Each line ends with the local moment (μB).
Positions (direct):
S 0.5000 0.0000 0.3868  -0.03
S 0.0000 0.5000 0.6132  -0.03
S 0.5000 0.0000 0.8825  -0.03
S 0.0000 0.5000 0.1175  -0.03
Ce 0.0000 0.5000 0.8519  0.78
Ce 0.5000 0.0000 0.1481  0.78
Cu 0.0000 0.0000 0.5000  -0.05
Cu 0.5000 0.5000 0.5000  -0.05

Values from the calculation:
Its total energy is -5.80 eV per atom. The symmetry is P4/nmm (129). For the uncorrected formation energy, the calculation gives -1233 meV per atom. The spin magnetization is 1.6 μB per cell.

Entry 10:
Below is a geometry-optimized CeCu2S4 structure, with properties calculated at the PBE level.

a = 3.8528 Å, b = 6.1948 Å, c = 11.3457 Å
α = 90.00°, β = 90.00°, γ = 108.12°
Positions (direct):
Ce 0.6085 0.2170 0.7500
Ce 0.3915 0.7830 0.2500
Cu 0.8706 0.7411 0.5652
Cu 0.8706 0.7411 0.9348
Cu 0.1294 0.2589 0.0652
Cu 0.1294 0.2589 0.4348
S 0.7833 0.5667 0.3879
S 0.5000 0.0000 0.0000
S 0.7833 0.5667 0.1121
S 0.2167 0.4333 0.8879
S 0.5000 0.0000 0.5000
S 0.0594 0.1188 0.2500
S 0.2167 0.4333 0.6121
S 0.9406 0.8812 0.7500

Values from the calculation:
Its total energy is -5.13 eV per atom. The symmetry is Cmcm (63). For the uncorrected formation energy, the calculation gives -750 meV per atom. The spin magnetization is 0.0 μB per cell.